# MoPdI3 GGA-PBEsol relaxed
# - size of the total moment (μB per cell) = 4.75
# - total energy (eV/atom) = -3.747
# - uncorrected formation energy (eV per atom) = 0.8583
data_MoPdI3
_cell_length_a 5.364
_cell_length_b 5.364
_cell_length_c 5.364
_cell_angle_alpha 90.00
_cell_angle_beta 90.00
_cell_angle_gamma 90.00
_space_group_name_H-M_alt 'P m -3 m'
_space_group_IT_number 221
_space_group_name_Hall '-P 4 2 3'
loop_
_atom_site_label
_atom_site_type_symbol
_atom_site_fract_x
_atom_site_fract_y
_atom_site_fract_z
Mo1 Mo 0.000 0.000 0.000
Pd1 Pd 0.500 0.500 0.500
I1 I 0.000 0.500 0.500


# ScCrPb2 GGA-PBEsol relaxed
# - size of the total moment (μB per cell) = 3.19
# - total energy (eV/atom) = -5.978
# - E_form (meV per atom) = 232.6
data_ScCrPb2
_cell_length_a 3.816
_cell_length_b 3.816
_cell_length_c 6.135
_cell_angle_alpha 90.00
_cell_angle_beta 90.00
_cell_angle_gamma 90.00
_space_group_name_H-M_alt 'P 4 m m'
_space_group_IT_number 99
loop_
_space_group_symop_operation_xyz
'x,y,z'
'-y,x,z'
'-x,-y,z'
'y,-x,z'
'-x,y,z'
'y,x,z'
'x,-y,z'
'-y,-x,z'
loop_
_atom_site_label
_atom_site_type_symbol
_atom_site_fract_x
_atom_site_fract_y
_atom_site_fract_z
Sc1 Sc 0.000 0.000 0.000
Cr1 Cr 0.500 0.500 0.231
Pb1 Pb 0.000 0.000 0.469
Pb2 Pb 0.500 0.500 0.763


# Ca2Zn2Hg GGA-PBEsol relaxed
# - offset from the most stable computed form (meV per atom) = 153
# - size of the total moment (μB per cell) = 0.00
# - total energy (eV/atom) = -1.754
# - E_form (meV per atom) = -155.0
data_Ca2Zn2Hg
_cell_length_a 5.778
_cell_length_b 5.778
_cell_length_c 7.452
_cell_angle_alpha 90.00
_cell_angle_beta 90.00
_cell_angle_gamma 90.00
_space_group_name_H-M_alt 'I 4/m m m'
_space_group_IT_number 139
_space_group_name_Hall '-I 4 2'
loop_
_atom_site_label
_atom_site_type_symbol
_atom_site_fract_x
_atom_site_fract_y
_atom_site_fract_z
Ca1 Ca 0.000 0.500 0.250
Zn1 Zn 0.000 0.000 0.152
Hg1 Hg 0.000 0.000 0.500


# LaMgPb GGA-PBEsol relaxed
# - size of the total moment (μB per cell) = 0.00
# - total energy (eV/atom) = -4.103
# - E_form (meV per atom) = -415.8
data_LaMgPb
_cell_length_a 5.0136
_cell_length_b 5.0136
_cell_length_c 3.8420
_cell_angle_alpha 90.00
_cell_angle_beta 90.00
_cell_angle_gamma 120.00
_space_group_name_H-M_alt 'P 3 m 1'
_space_group_IT_number 156
loop_
_space_group_symop_operation_xyz
'x,y,z'
'-y,x-y,z'
'-x+y,-x,z'
'-y,-x,z'
'-x+y,y,z'
'x,x-y,z'
loop_
_atom_site_label
_atom_site_type_symbol
_atom_site_fract_x
_atom_site_fract_y
_atom_site_fract_z
La1 La 0.0000 0.0000 0.0000
Mg1 Mg 0.6667 0.3333 0.4996
Pb1 Pb 0.3333 0.6667 0.5015


# ZnRhAu2 GGA-PBEsol relaxed
# - size of the total moment (μB per cell) = 0.00
# - total energy (eV/atom) = -4.500
# - E_form (meV per atom) = -107.8
data_ZnRhAu2
_cell_length_a 2.945
_cell_length_b 2.945
_cell_length_c 6.954
_cell_angle_alpha 90.00
_cell_angle_beta 90.00
_cell_angle_gamma 90.00
_space_group_name_H-M_alt 'P 4 m m'
_space_group_IT_number 99
loop_
_space_group_symop_operation_xyz
'x,y,z'
'-y,x,z'
'-x,-y,z'
'y,-x,z'
'-x,y,z'
'y,x,z'
'x,-y,z'
'-y,-x,z'
loop_
_atom_site_label
_atom_site_type_symbol
_atom_site_fract_x
_atom_site_fract_y
_atom_site_fract_z
Zn1 Zn 0.000 0.000 0.000
Rh1 Rh 0.500 0.500 0.790
Au1 Au 0.000 0.000 0.527
Au2 Au 0.500 0.500 0.243


# RbCu2I3 GGA-PBEsol relaxed
# - size of the total moment (μB per cell) = 0.00
# - total energy (eV/atom) = -3.070
# - uncorrected formation energy (eV per atom) = -0.5707
data_RbCu2I3
_cell_length_a 11.025
_cell_length_b 13.482
_cell_length_c 5.245
_cell_angle_alpha 90.00
_cell_angle_beta 90.00
_cell_angle_gamma 90.00
_space_group_name_H-M_alt 'C m c m'
_space_group_IT_number 63
_space_group_name_Hall '-C 2c 2'
loop_
_atom_site_label
_atom_site_type_symbol
_atom_site_fract_x
_atom_site_fract_y
_atom_site_fract_z
Rb1 Rb 0.000 0.194 0.250
Cu1 Cu 0.163 0.500 0.000
I1 I 0.000 0.390 0.750
I2 I 0.214 0.130 0.750


# InCu2Tc GGA-PBEsol relaxed
# - size of the total moment (μB per cell) = 0.00
# - total energy (eV/atom) = -5.524
# - E_form (meV per atom) = 205.6
data_InCu2Tc
_cell_length_a 3.898
_cell_length_b 3.898
_cell_length_c 3.709
_cell_angle_alpha 90.00
_cell_angle_beta 90.00
_cell_angle_gamma 90.00
_space_group_name_H-M_alt 'P 4/m m m'
_space_group_IT_number 123
_space_group_name_Hall '-P 4 2'
loop_
_atom_site_label
_atom_site_type_symbol
_atom_site_fract_x
_atom_site_fract_y
_atom_site_fract_z
In1 In 0.000 0.000 0.000
Cu1 Cu 0.000 0.500 0.500
Tc1 Tc 0.500 0.500 0.000


# SbAs2Au GGA-PBEsol relaxed
# - size of the total moment (μB per cell) = 0.00
# - total energy (eV/atom) = -4.648
# - uncorrected formation energy (eV per atom) = 0.0255
data_SbAs2Au
_cell_length_a 3.8774
_cell_length_b 3.8774
_cell_length_c 19.4094
_cell_angle_alpha 90.00
_cell_angle_beta 90.00
_cell_angle_gamma 120.00
_space_group_name_H-M_alt 'R 3 m'
_space_group_IT_number 160
_space_group_name_Hall 'R 3 -2"'
loop_
_atom_site_label
_atom_site_type_symbol
_atom_site_fract_x
_atom_site_fract_y
_atom_site_fract_z
Sb1 Sb 0.0000 0.0000 0.0000
As1 As 0.0000 0.0000 0.2417
As2 As 0.0000 0.0000 0.4955
Au1 Au 0.0000 0.0000 0.7527


# Zn4SnN4 GGA-PBEsol relaxed
# - size of the total moment (μB per cell) = 0.00
# - total energy (eV/atom) = -4.916
# - uncorrected formation energy (eV per atom) = 0.0495
data_Zn4SnN4
_cell_length_a 5.787
_cell_length_b 5.906
_cell_length_c 8.560
_cell_angle_alpha 89.36
_cell_angle_beta 73.98
_cell_angle_gamma 88.40
_space_group_name_H-M_alt 'P -1'
_space_group_IT_number 2
loop_
_space_group_symop_operation_xyz
'x,y,z'
'-x,-y,-z'
loop_
_atom_site_label
_atom_site_type_symbol
_atom_site_fract_x
_atom_site_fract_y
_atom_site_fract_z
Zn1 Zn 0.009 0.362 0.125
Zn2 Zn 0.270 0.156 0.346
Zn3 Zn 0.299 0.632 0.551
Zn4 Zn 0.331 0.845 0.046
Sn1 Sn 0.217 0.118 0.734
N1 N 0.033 0.693 0.095
N2 N 0.054 0.826 0.684
N3 N 0.351 0.301 0.525
N4 N 0.486 0.994 0.830


# Zr2CoSi2 GGA-PBEsol relaxed
# - size of the total moment (μB per cell) = 0.01
# - total energy (eV/atom) = -8.456
# - uncorrected formation energy (eV per atom) = -0.9741
data_Zr2CoSi2
_cell_length_a 9.835
_cell_length_b 3.847
_cell_length_c 9.372
_cell_angle_alpha 90.00
_cell_angle_beta 118.51
_cell_angle_gamma 90.00
_space_group_name_H-M_alt 'C 1 2/m 1'
_space_group_IT_number 12
loop_
_space_group_symop_operation_xyz
'x,y,z'
'-x,-y,-z'
'-x,y,-z'
'x,-y,z'
'x+1/2,y+1/2,z'
'-x+1/2,-y+1/2,-z'
'-x+1/2,y+1/2,-z'
'x+1/2,-y+1/2,z'
loop_
_atom_site_label
_atom_site_type_symbol
_atom_site_fract_x
_atom_site_fract_y
_atom_site_fract_z
Zr1 Zr 0.002 0.000 0.175
Zr2 Zr 0.188 0.000 0.602
Co1 Co 0.222 0.500 0.874
Si1 Si 0.013 0.500 0.376
Si2 Si 0.144 0.500 0.070


# TiBSe2N GGA-PBEsol relaxed
# - size of the total moment (μB per cell) = 0.00
# - total energy (eV/atom) = -6.366
# - uncorrected formation energy (eV per atom) = -0.0528
data_TiBSe2N
_cell_length_a 5.153
_cell_length_b 5.153
_cell_length_c 2.714
_cell_angle_alpha 90.00
_cell_angle_beta 90.00
_cell_angle_gamma 90.00
_space_group_name_H-M_alt 'P 4/m m m'
_space_group_IT_number 123
_space_group_name_Hall '-P 4 2'
loop_
_atom_site_label
_atom_site_type_symbol
_atom_site_fract_x
_atom_site_fract_y
_atom_site_fract_z
Ti1 Ti 0.000 0.000 0.000
B1 B 0.500 0.500 0.500
Se1 Se 0.000 0.500 0.500
N1 N 0.500 0.500 0.000


# LiMnHg2 GGA-PBEsol relaxed
# - size of the total moment (μB per cell) = 11.24
# - total energy (eV/atom) = -3.114
# - E_form (meV per atom) = 101.0
data_LiMnHg2
_cell_length_a 3.0914
_cell_length_b 3.0914
_cell_length_c 26.5585
_cell_angle_alpha 90.00
_cell_angle_beta 90.00
_cell_angle_gamma 120.00
_space_group_name_H-M_alt 'R -3 m'
_space_group_IT_number 166
_space_group_name_Hall '-R 3 2"'
loop_
_atom_site_label
_atom_site_type_symbol
_atom_site_fract_x
_atom_site_fract_y
_atom_site_fract_z
Li1 Li 0.0000 0.0000 0.0000
Mn1 Mn 0.0000 0.0000 0.5000
Hg1 Hg 0.0000 0.0000 0.2492